Density functional theory data (GGA-PBE) for a relaxed structure of RbTmAlTe4.

Unit cell a=7.5979 b=6.5936 c=10.4074 alpha=90.00 beta=107.25 gamma=90.00
Atoms (fractional coordinates):
Rb 0.7586 0.7500 0.9480
Rb 0.2414 0.2500 0.0520
Tm 0.7433 0.7500 0.4463
Tm 0.2567 0.2500 0.5537
Al 0.2594 0.7500 0.3337
Al 0.7406 0.2500 0.6663
Te 0.0203 0.5094 0.7022
Te 0.9797 0.0094 0.2978
Te 0.9797 0.4906 0.2978
Te 0.0203 0.9906 0.7022
Te 0.4484 0.7500 0.1677
Te 0.5516 0.2500 0.8323
Te 0.4373 0.7500 0.5875
Te 0.5627 0.2500 0.4125

Density functional theory data (GGA-PBE) for a relaxed structure of Rb2TmAlTe4.

Unit cell a=7.3911 b=7.3899 c=7.3899 alpha=75.52 beta=59.99 gamma=59.99
Atoms (fractional coordinates):
Rb 0.0000 0.5000 0.5000
Rb 0.5000 0.5000 0.5000
Tm 0.0000 0.0000 0.0000
Al 0.5000 0.0000 0.0000
Te 0.1113 0.3305 0.0000
Te 0.8887 0.0000 0.6695
Te 0.5582 0.0000 0.3305
Te 0.4418 0.6695 0.0000

Density functional theory data (GGA-PBE) for a relaxed structure of Rb3U3AlTe8.

Unit cell a=8.9144 b=8.9164 c=10.1164 alpha=116.15 beta=90.00 gamma=120.00
Atoms (fractional coordinates):
Rb 0.0000 0.0000 0.0000
Rb 0.0000 0.5000 0.0000
Rb 0.5000 0.5000 0.0000
U 0.5000 0.0000 0.5000
U 0.5000 0.5000 0.5000
U 0.0000 0.5000 0.5000
Al 0.0000 0.0000 0.5000
Te 0.2658 0.5316 0.2974
Te 0.7342 0.4684 0.7026
Te 0.7795 0.5590 0.3141
Te 0.2205 0.4410 0.6859
Te 0.7796 0.0346 0.3142
Te 0.2204 0.9654 0.6858
Te 0.2550 0.0346 0.3142
Te 0.7450 0.9654 0.6858

Density functional theory data (GGA-PBE) for a relaxed structure of Rb2UAlTe4.

Unit cell a=7.5678 b=7.4006 c=7.4006 alpha=74.85 beta=59.25 gamma=59.25
Atoms (fractional coordinates):
Rb 0.0000 0.5000 0.5000
Rb 0.5000 0.5000 0.5000
U 0.0000 0.0000 0.0000
Al 0.5000 0.0000 0.0000
Te 0.1182 0.3390 0.0000
Te 0.8818 0.0000 0.6610
Te 0.5428 0.0000 0.3390
Te 0.4572 0.6610 0.0000

Density functional theory data (GGA-PBE) for a relaxed structure of RbYAlTe4.

Unit cell a=7.6621 b=6.5948 c=10.4414 alpha=90.00 beta=107.10 gamma=90.00
Atoms (fractional coordinates):
Rb 0.7552 0.7500 0.9469
Rb 0.2448 0.2500 0.0531
Y 0.7450 0.7500 0.4468
Y 0.2550 0.2500 0.5532
Al 0.2594 0.7500 0.3321
Al 0.7406 0.2500 0.6679
Te 0.0187 0.5093 0.7056
Te 0.9813 0.0093 0.2944
Te 0.9813 0.4907 0.2944
Te 0.0187 0.9907 0.7056
Te 0.4479 0.7500 0.1670
Te 0.5521 0.2500 0.8330
Te 0.4322 0.7500 0.5858
Te 0.5678 0.2500 0.4142

Density functional theory data (GGA-PBE) for a relaxed structure of Rb3Y3AlTe8.

Unit cell a=8.7069 b=8.7122 c=10.2277 alpha=115.20 beta=90.00 gamma=120.01
Atoms (fractional coordinates):
Rb 0.0000 0.0000 0.0000
Rb 0.0000 0.5000 0.0000
Rb 0.5000 0.5000 0.0000
Y 0.5000 0.0000 0.5000
Y 0.5000 0.5000 0.5000
Y 0.0000 0.5000 0.5000
Al 0.0000 0.0000 0.5000
Te 0.2659 0.5318 0.2980
Te 0.7341 0.4682 0.7020
Te 0.7812 0.5624 0.3118
Te 0.2188 0.4376 0.6882
Te 0.7811 0.0307 0.3118
Te 0.2189 0.9693 0.6882
Te 0.2497 0.0306 0.3117
Te 0.7503 0.9694 0.6883

Density functional theory data (GGA-PBE) for a relaxed structure of RbAl2ZnTe.

Unit cell a=5.8240 b=5.6220 c=5.8240 alpha=90.00 beta=90.00 gamma=90.00
Atoms (fractional coordinates):
Zn 0.0000 0.5000 0.0000
Te 0.0000 0.0000 0.0000
Al 0.0000 0.0000 0.5000
Al 0.5000 0.0000 0.0000
Rb 0.5000 0.5000 0.5000

Density functional theory data (GGA-PBE) for a relaxed structure of Rb2ZrAlTe5.

Unit cell a=4.0392 b=11.4925 c=15.8808 alpha=90.00 beta=90.00 gamma=100.12
Atoms (fractional coordinates):
Rb 0.8793 0.7585 0.8211
Rb 0.1386 0.2771 0.6900
Rb 0.1207 0.2415 0.3211
Rb 0.8614 0.7229 0.1900
Zr 0.7950 0.5900 0.5293
Zr 0.2050 0.4100 0.0293
Al 0.5785 0.1570 0.9221
Al 0.4215 0.8430 0.4221
Te 0.3277 0.6553 0.0017
Te 0.6943 0.3885 0.8897
Te 0.5160 0.0319 0.7847
Te 0.3016 0.6031 0.6567
Te 0.9339 0.8678 0.5287
Te 0.6723 0.3447 0.5017
Te 0.3057 0.6115 0.3897
Te 0.4840 0.9681 0.2847
Te 0.6984 0.3969 0.1567
Te 0.0661 0.1322 0.0287

no.,VASP energy (eV/atom)
1,-3.99
2,-3.83
3,-5.12
4,-4.38
5,-4.31
6,-4.53
7,-2.02
8,-4.10